[1]
This record from the Alexandria database describes an optimized crystal structure of PaGaTe. The functional is PBE.

Geometry as POSCAR:
```
PaGaTe
1.0
3.5219 0.0000 0.0000
0.0000 4.8700 0.0000
0.0000 -2.4350 4.2175
Pa Te Ga
1 1 1
Cartesian
1.1754 2.4350 1.4058
2.9383 0.0000 2.8117
2.9301 0.0000 0.0000
```

Computed properties:
- E (eV/f.u.) = -16.17
- total magnetic moment (μB/f.u.) = 0.6
- raw formation energy (eV/atom) = -0.170
- SG = No. 156
- DOS at the Fermi energy (states/eV per cell) = 5.261

[2]
This record from the Alexandria database describes an optimized crystal structure of TePd3Pt3. The functional is PBE.

Geometry as POSCAR:
```
TePd3Pt3
1.0
-8.6184 -1.6435 1.4068
-3.9274 -6.8765 -4.0309
-2.4526 -7.1122 4.7286
Te Pd Pt
4 12 12
Cartesian
-1.8748 -1.9540 0.2631
-3.1011 -5.5101 2.6273
-3.8385 -5.3923 -1.7524
-6.1840 -2.7758 0.9665
-2.0897 -3.4714 -1.8361
-4.7978 -7.4393 3.0201
-10.2006 -8.1929 -0.9156
-9.4111 -8.3191 3.7732
-8.0983 -4.5120 1.2421
-6.9001 -11.1202 0.8625
-4.2697 -1.0396 0.6909
-1.4043 -3.5809 2.2346
-6.0949 -4.2352 -1.1823
-3.2295 -6.7766 0.3614
-5.5873 -7.3131 -1.6686
-5.4095 -4.3447 2.8884
-12.5855 -13.1173 1.7660
-7.0369 -8.9583 2.5503
-7.5626 -8.8743 -0.5722
-9.2348 -7.0089 1.3662
-11.1854 -10.6660 3.2029
-9.5132 -12.5314 1.2645
-11.7112 -10.5820 0.0803
-6.1626 -6.4230 0.8647
-9.3740 -9.7701 1.3153
-8.1477 -6.2140 -1.0489
-7.4103 -6.3319 3.3308
-5.0648 -8.9484 0.6119
```

Computed properties:
- E (eV/f.u.) = -36.86
- total magnetic moment (μB/f.u.) = 0.0
- raw formation energy (eV/atom) = -0.002
- SG = No. 227
- DOS at the Fermi energy (states/eV per cell) = 30.486

[3]
This record from the Alexandria database describes an optimized crystal structure of BaCu4Cl12. The functional is PBE.

Geometry as POSCAR:
```
BaCu4Cl12
1.0
7.9985 0.0000 0.0000
-2.6662 7.5411 0.0000
-2.6662 -3.7705 6.5308
Ba Cu Cl
1 4 12
Cartesian
0.0000 0.0000 0.0000
-1.3331 3.7705 0.0000
3.9993 0.0000 0.0000
1.3331 1.8853 3.2654
-1.3331 -1.8853 3.2654
5.3817 1.8504 0.6152
0.5023 2.9531 1.2948
4.8300 -1.1726 4.6207
-0.0494 -2.3126 5.2359
-2.1639 4.9432 1.9101
2.1639 0.8174 5.2359
2.6168 0.3924 1.9101
0.0494 3.3782 4.6207
2.7156 6.0831 1.2948
3.1685 3.4153 3.3259
-0.5023 0.3552 3.2049
-2.7156 1.9202 5.9156
```

Computed properties:
- E (eV/f.u.) = -52.52
- total magnetic moment (μB/f.u.) = 0.0
- raw formation energy (eV/atom) = -0.709
- SG = No. 204
- DOS at the Fermi energy (states/eV per cell) = 11.304

> What is the formula in the third record?

BaCu4Cl12